Al2PtF2 | GGA-PBE | optimized geometry

The structure belongs to space group I4/mmm (No. 139); the cell edges are 4.187, 4.187 and 7.643 Å and the angles 90.00°, 90.00° and 90.00°. The asymmetric unit holds Al at (0.000, 0.500, 0.250), Pt at (0.000, 0.000, 0.000) and F at (0.000, 0.000, 0.349).

Its uncorrected formation energy is -1.0325 eV per atom. The value obtained for the calculated total energy is -4.486 eV/atom.